The following is a DFT calculation (PBE) of a geometry-optimized Ho4Er5In structure.

Summary:
ΔH_f (0 K) ... -0.790 eV per formula unit
Space-group type ... No. 123
Volume ... 299.2 Å³ per cell

a = 3.5151 Å, b = 3.5152 Å, c = 24.2136 Å
α = 90.00°, β = 90.00°, γ = 90.00°
Closest atoms and distances in Å follow each position.
Element x y z (fractional)
1 Ho 0.0000 0.0000 0.1905  4 Ho 3.52, 8 Er 3.52-3.53
2 Ho 0.0000 0.0000 0.3968  4 Ho 3.52, 8 Er 3.52
3 Ho 0.0000 0.0000 0.6032  4 Ho 3.52, 8 Er 3.52
4 Ho 0.0000 0.0000 0.8095  4 Ho 3.52, 8 Er 3.52-3.53
5 Er 0.5000 0.5000 0.0875  4 In 3.27, 4 Er 3.52, 4 Ho 3.52
6 Er 0.5000 0.5000 0.2939  4 Er 3.52, 8 Ho 3.52-3.53
7 Er 0.5000 0.5000 0.5000  4 Er 3.52, 8 Ho 3.52
8 Er 0.5000 0.5000 0.7061  4 Er 3.52, 8 Ho 3.52-3.53
9 Er 0.5000 0.5000 0.9125  4 In 3.27, 4 Er 3.52, 4 Ho 3.52
10 In 0.0000 0.0000 0.0000  8 Er 3.27, 4 In 3.52


The following is a DFT calculation (PBE) of a geometry-optimized Fe2Rh structure.

Summary:
ΔH_f (0 K) ... 0.443 eV per formula unit
Space-group type ... No. 189
Volume ... 118.6 Å³ per cell

a = 7.2179 Å, b = 7.2179 Å, c = 2.6282 Å
α = 90.00°, β = 90.00°, γ = 120.00°
Closest atoms and distances in Å follow each position.
Element x y z (fractional)
1 Fe 0.0000 0.3075 0.0000  4 Rh 2.50-2.58, 8 Fe 2.63-2.77
2 Fe 0.0000 0.6381 0.5000  5 Rh 2.61-2.66, 8 Fe 2.63-2.77
3 Fe 0.3075 0.0000 0.0000  4 Rh 2.50-2.58, 8 Fe 2.63-2.77
4 Fe 0.6925 0.6925 0.0000  4 Rh 2.50-2.58, 8 Fe 2.63-2.77
5 Fe 0.6381 0.0000 0.5000  5 Rh 2.61-2.66, 8 Fe 2.63-2.77
6 Fe 0.3619 0.3619 0.5000  5 Rh 2.61-2.66, 8 Fe 2.63-2.77
7 Rh 0.0000 0.0000 0.5000  9 Fe 2.58-2.61, 2 Rh 2.63
8 Rh 0.3333 0.6667 0.0000  9 Fe 2.50-2.66, 2 Rh 2.63
9 Rh 0.6667 0.3333 0.0000  9 Fe 2.50-2.66, 2 Rh 2.63


The following is a DFT calculation (PBE) of a geometry-optimized NbV5Re structure.

Summary:
ΔH_f (0 K) ... 2.332 eV per formula unit
Space-group type ... No. 123
Volume ... 108.0 Å³ per cell

a = 3.4979 Å, b = 3.4979 Å, c = 8.8233 Å
α = 90.00°, β = 90.00°, γ = 90.00°
Closest atoms and distances in Å follow each position.
Element x y z (fractional)
1 Nb 0.0000 0.0000 0.5000  8 V 2.78
2 V 0.0000 0.5000 0.2555  4 V 2.47
3 V 0.0000 0.5000 0.7445  4 V 2.47
4 V 0.5000 0.0000 0.2555  4 V 2.47
5 V 0.5000 0.0000 0.7445  4 V 2.47
6 V 0.0000 0.0000 0.0000  4 Re 2.47
7 Re 0.5000 0.5000 0.0000  4 V 2.47


The following is a DFT calculation (PBE) of a geometry-optimized ZnCo2NiH structure.

Summary:
Raw total energy ... -4.95 eV/atom
Space-group type ... No. 123
Volume ... 48.0 Å³ per cell

a = 3.5880 Å, b = 3.5880 Å, c = 3.7313 Å
α = 90.00°, β = 90.00°, γ = 90.00°
Closest atoms and distances in Å follow each position.
Element x y z (fractional)
1 Ni 0.0000 0.0000 0.5000  2 H 1.87
2 Zn 0.5000 0.5000 0.5000  4 Ni 2.54, 8 Co 2.59
3 Co 0.0000 0.5000 0.0000  2 H 1.79
4 Co 0.5000 0.0000 0.0000  2 H 1.79
5 H 0.0000 0.0000 0.0000  4 Co 1.79, 2 Ni 1.87


The following is a DFT calculation (PBE) of a geometry-optimized TmZnGaPt2 structure.

Summary:
ΔH_f (0 K) ... -4.417 eV per formula unit
Space-group type ... No. 119
Volume ... 91.6 Å³ per cell

a = 3.8274 Å, b = 3.8274 Å, c = 6.8114 Å
α = 106.32°, β = 106.32°, γ = 90.00°
Closest atoms and distances in Å follow each position.
Element x y z (fractional)
1 Tm 0.0000 0.0000 0.0000  8 Pt 3.02
2 Zn 0.7500 0.2500 0.5000  4 Pt 2.61, 4 Ga 2.71
3 Ga 0.2500 0.7500 0.5000  4 Pt 2.61, 4 Zn 2.71
4 Pt 0.6079 0.6079 0.2158  2 Ga 2.61, 2 Zn 2.61, 1 Pt 2.70
5 Pt 0.3921 0.3921 0.7842  2 Ga 2.61, 2 Zn 2.61, 1 Pt 2.70


The following is a DFT calculation (PBE) of a geometry-optimized Sr2TmRe3O12 structure.

Summary:
Space-group type ... No. 166
Raw formation energy ... -2.07 eV/atom
Volume ... 251.6 Å³ per cell

a = 6.8008 Å, b = 6.8008 Å, c = 6.8008 Å
α = 66.06°, β = 66.06°, γ = 66.06°
Closest atoms and distances in Å follow each position.
Element x y z (fractional)
1 Sr 0.6254 0.6254 0.6254  3 O 2.45
2 Sr 0.3746 0.3746 0.3746  3 O 2.45
3 Tm 0.0000 0.0000 0.0000  6 O 2.40
4 Re 0.5000 0.0000 0.0000  6 O 1.90-1.94
5 Re 0.0000 0.5000 0.0000  6 O 1.90-1.94
6 Re 0.0000 0.0000 0.5000  6 O 1.90-1.94
7 O 0.2826 0.2826 0.9031  2 Re 1.94
8 O 0.8703 0.8703 0.4016  1 Re 1.90
9 O 0.4016 0.8703 0.8703  1 Re 1.90
10 O 0.9031 0.2826 0.2826  2 Re 1.94
11 O 0.8703 0.4016 0.8703  1 Re 1.90
12 O 0.2826 0.9031 0.2826  2 Re 1.94
13 O 0.7174 0.7174 0.0969  2 Re 1.94
14 O 0.1297 0.1297 0.5984  1 Re 1.90
15 O 0.5984 0.1297 0.1297  1 Re 1.90
16 O 0.0969 0.7174 0.7174  2 Re 1.94
17 O 0.1297 0.5984 0.1297  1 Re 1.90
18 O 0.7174 0.0969 0.7174  2 Re 1.94


The following is a DFT calculation (PBE) of a geometry-optimized ZrSc5Os6 structure.

Summary:
ΔH_f (0 K) ... -4.463 eV per formula unit
Space-group type ... No. 71
Volume ... 202.1 Å³ per cell

a = 4.5575 Å, b = 6.4787 Å, c = 7.9076 Å
α = 114.18°, β = 106.72°, γ = 90.00°
Closest atoms and distances in Å follow each position.
Element x y z (fractional)
1 Sc 0.6686 0.1687 0.3375  8 Os 2.78-2.82
2 Sc 0.3333 0.3335 0.6670  8 Os 2.80
3 Sc 0.0000 0.5000 0.0000  8 Os 2.80
4 Sc 0.6667 0.6665 0.3330  8 Os 2.80
5 Sc 0.3314 0.8313 0.6625  8 Os 2.78-2.82
6 Os 0.8336 0.5847 0.6673  7 Sc 2.78-2.80, 1 Zr 2.79
7 Os 0.8337 0.0827 0.6673  7 Sc 2.78-2.80, 1 Zr 2.79
8 Os 0.5000 0.7506 0.0000  2 Zr 2.79, 6 Sc 2.80-2.82
9 Os 0.5000 0.2494 0.0000  2 Zr 2.79, 6 Sc 2.80-2.82
10 Os 0.1663 0.9173 0.3327  7 Sc 2.78-2.80, 1 Zr 2.79
11 Os 0.1664 0.4153 0.3327  7 Sc 2.78-2.80, 1 Zr 2.79
12 Zr 0.0000 0.0000 0.0000  8 Os 2.79


The following is a DFT calculation (PBE) of a geometry-optimized LiPuCuPb structure.

Summary:
ΔH_f (0 K) ... 0.161 eV per formula unit
Space-group type ... No. 216
Volume ... 89.5 Å³ per cell

a = 5.0212 Å, b = 5.0212 Å, c = 5.0212 Å
α = 60.00°, β = 60.00°, γ = 60.00°
Closest atoms and distances in Å follow each position.
Element x y z (fractional)
1 Pb 0.7500 0.7500 0.7500  4 Li 3.07, 4 Pu 3.07
2 Li 0.0000 0.0000 0.0000  4 Pb 3.07, 4 Cu 3.07
3 Cu 0.2500 0.2500 0.2500  4 Li 3.07, 4 Pu 3.07
4 Pu 0.5000 0.5000 0.5000  4 Pb 3.07, 4 Cu 3.07


The following is a DFT calculation (PBE) of a geometry-optimized Mg2TaCo2 structure.

Summary:
ΔH_f (0 K) ... 3.546 eV per formula unit
Space-group type ... No. 139
Volume ... 77.3 Å³ per cell

a = 4.3383 Å, b = 4.3383 Å, c = 5.1246 Å
α = 64.96°, β = 64.96°, γ = 90.00°
Closest atoms and distances in Å follow each position.
Element x y z (fractional)
1 Mg 0.3564 0.3564 0.2871  4 Co 2.34, 1 Mg 2.36
2 Mg 0.6436 0.6436 0.7129  4 Co 2.34, 1 Mg 2.36
3 Co 0.7500 0.2500 0.5000  4 Mg 2.34
4 Co 0.2500 0.7500 0.5000  4 Mg 2.34
5 Ta 0.0000 0.0000 0.0000  2 Mg 2.93, 8 Co 2.99


The following is a DFT calculation (PBE) of a geometry-optimized ReSe2Br structure.

Summary:
Space-group type ... No. 166
Raw formation energy ... 0.52 eV/atom
Volume ... 90.9 Å³ per cell

a = 12.6857 Å, b = 12.6857 Å, c = 12.6857 Å
α = 13.08°, β = 13.08°, γ = 13.08°
Closest atoms and distances in Å follow each position.
Element x y z (fractional)
1 Re 0.0000 0.0000 0.0000  2 Se 2.46
2 Se 0.9347 0.9347 0.9347  1 Re 2.46
3 Se 0.0653 0.0653 0.0653  1 Re 2.46
4 Br 0.5000 0.5000 0.5000  6 Br 2.89


The following is a DFT calculation (PBE) of a geometry-optimized Y2TmPu3Te6 structure.

Summary:
Space-group type ... No. 12
Raw formation energy ... -0.87 eV/atom
Volume ... 423.8 Å³ per cell

a = 4.1337 Å, b = 12.6325 Å, c = 8.9317 Å
α = 69.66°, β = 103.38°, γ = 90.00°
Closest atoms and distances in Å follow each position.
Element x y z (fractional)
1 Y 0.6967 0.8047 0.3933  5 Te 2.99-3.12
2 Y 0.3033 0.1953 0.6067  5 Te 2.99-3.12
3 Tm 0.5000 0.0000 0.0000  4 Te 3.06, 2 Y 3.43
4 Pu 0.5000 0.5000 0.0000  2 Pu 3.07, 4 Te 3.18
5 Pu 0.6811 0.4805 0.3621  3 Pu 3.07-3.33, 5 Te 3.18-3.28
6 Pu 0.3189 0.5195 0.6379  3 Pu 3.07-3.33, 5 Te 3.18-3.28
7 Te 0.1295 0.0019 0.2590  2 Tm 3.06, 2 Y 3.12
8 Te 0.8768 0.6674 0.7536  1 Y 2.99, 4 Pu 3.18
9 Te 0.8705 0.9981 0.7410  2 Tm 3.06, 2 Y 3.12
10 Te 0.1243 0.6859 0.2486  2 Y 3.07, 3 Pu 3.19-3.28
11 Te 0.8757 0.3141 0.7514  2 Y 3.07, 3 Pu 3.19-3.28
12 Te 0.1232 0.3326 0.2464  1 Y 2.99, 4 Pu 3.18


The following is a DFT calculation (PBE) of a geometry-optimized K4InSi structure.

Summary:
Space-group type ... No. 216
Raw formation energy ... 0.53 eV/atom
Volume ... 239.7 Å³ per cell

a = 6.9721 Å, b = 6.9721 Å, c = 6.9721 Å
α = 60.00°, β = 60.00°, γ = 60.00°
Closest atoms and distances in Å follow each position.
Element x y z (fractional)
1 K 0.3760 0.8719 0.3760  6 K 3.46-3.51
2 K 0.8719 0.3760 0.3760  6 K 3.46-3.51
3 K 0.3760 0.3760 0.8719  6 K 3.46-3.51
4 K 0.3760 0.3760 0.3760  6 K 3.46-3.51
5 In 0.0000 0.0000 0.0000  12 K 4.09, 4 Si 4.27
6 Si 0.7500 0.7500 0.7500  12 K 4.08, 4 In 4.27


Number 1: DOS at the Fermi energy 1.278 states/eV per atom. Number 2: DOS at the Fermi energy 1.716 states/eV per atom. Number 3: DOS at the Fermi energy 1.086 states/eV per atom. Number 4: DOS at the Fermi energy 1.058 states/eV per atom. Number 5: DOS at the Fermi energy 0.546 states/eV per atom. Number 6: DOS at the Fermi energy 0.380 states/eV per atom. Number 7: DOS at the Fermi energy 1.151 states/eV per atom. Number 8: DOS at the Fermi energy 2.823 states/eV per atom. Number 9: DOS at the Fermi energy 0.445 states/eV per atom. Number 10: DOS at the Fermi energy 0.981 states/eV per atom. Number 11: DOS at the Fermi energy 2.342 states/eV per atom. Number 12: DOS at the Fermi energy 0.509 states/eV per atom.